(1)
This record from Alexandria via LeMat-Bulk describes a relaxed structure of Pr2NdScBi5. The functional is PBE.

```
data_Pr2NdScBi5
_symmetry_space_group_name_H-M 'P 4/m m m'
_symmetry_Int_Tables_number 123
_symmetry_space_group_name_Hall '-P 4 2'
_cell_length_a 5.692
_cell_length_b 5.692
_cell_length_c 11.469
_cell_angle_alpha 90.00
_cell_angle_beta 90.00
_cell_angle_gamma 90.00
loop_
_atom_site_label
_atom_site_type_symbol
_atom_site_fract_x
_atom_site_fract_y
_atom_site_fract_z
_atom_site_occupancy
Pr1 Pr 0.000 0.000 0.201 1
Nd1 Nd 0.500 0.500 0.000 1
Sc1 Sc 0.500 0.500 0.500 1
Bi1 Bi 0.000 0.000 0.500 1
Bi2 Bi 0.000 0.500 0.000 1
Bi3 Bi 0.500 0.500 0.263 1
```

Values from the calculation:
- Crystal system: tetragonal
- Raw total energy: -4.460 eV/atom
- Calculated volume: 372 Å³/cell
- DFT formation energy: -0.009 eV/atom

=====

(2)
This record from Alexandria via LeMat-Bulk describes a relaxed structure of Ca2EuY. The functional is PBE.

```
data_Ca2EuY
_symmetry_space_group_name_H-M 'P 4/m m m'
_symmetry_Int_Tables_number 123
_symmetry_space_group_name_Hall '-P 4 2'
_cell_length_a 4.146
_cell_length_b 4.146
_cell_length_c 9.004
_cell_angle_alpha 90.00
_cell_angle_beta 90.00
_cell_angle_gamma 90.00
loop_
_atom_site_label
_atom_site_type_symbol
_atom_site_fract_x
_atom_site_fract_y
_atom_site_fract_z
_atom_site_occupancy
Ca1 Ca 0.000 0.000 0.232 1
Eu1 Eu 0.500 0.500 0.500 1
Y1 Y 0.500 0.500 0.000 1
```

Values from the calculation:
- Crystal system: tetragonal
- Raw total energy: -5.089 eV/atom
- E above lowest polymorph: 0.0000 eV/atom
- Calculated volume: 155 Å³/cell
- DFT formation energy: 0.097 eV/atom

=====

(3)
This record from Alexandria via LeMat-Bulk describes a relaxed structure of Ce3CdIn. The functional is PBE.

```
data_Ce3CdIn
_symmetry_space_group_name_H-M 'C 1 2/m 1'
_symmetry_Int_Tables_number 12
_symmetry_space_group_name_Hall '-C 2y'
_cell_length_a 11.030
_cell_length_b 4.230
_cell_length_c 11.609
_cell_angle_alpha 90.00
_cell_angle_beta 97.25
_cell_angle_gamma 90.00
loop_
_atom_site_label
_atom_site_type_symbol
_atom_site_fract_x
_atom_site_fract_y
_atom_site_fract_z
_atom_site_occupancy
Ce1 Ce 0.124 0.000 0.048 1
Ce2 Ce 0.160 0.500 0.571 1
Ce3 Ce 0.246 0.000 0.718 1
Cd1 Cd 0.047 0.000 0.349 1
In1 In 0.059 0.500 0.833 1
```

Values from the calculation:
- Crystal system: monoclinic
- Raw total energy: -4.466 eV/atom
- E above lowest polymorph: 0.0000 eV/atom
- Calculated volume: 537 Å³/cell
- DFT formation energy: -0.175 eV/atom

=====

(4)
This record from Alexandria via LeMat-Bulk describes a relaxed structure of Li2Mg3In3Ag. The functional is PBE.

```
data_Li2Mg3In3Ag
_symmetry_space_group_name_H-M 'P -6 2 m'
_symmetry_Int_Tables_number 189
_symmetry_space_group_name_Hall 'P -6 -2'
_cell_length_a 8.1761
_cell_length_b 8.1761
_cell_length_c 3.2215
_cell_angle_alpha 90.00
_cell_angle_beta 90.00
_cell_angle_gamma 120.00
loop_
_atom_site_label
_atom_site_type_symbol
_atom_site_fract_x
_atom_site_fract_y
_atom_site_fract_z
_atom_site_occupancy
Li1 Li 0.3333 0.6667 0.0000 1
Mg1 Mg 0.0000 0.7127 0.0000 1
In1 In 0.0000 0.3737 0.5000 1
Ag1 Ag 0.0000 0.0000 0.5000 1
```

Values from the calculation:
- Crystal system: hexagonal
- Raw total energy: -2.372 eV/atom
- Calculated volume: 186 Å³/cell
- DFT formation energy: -0.186 eV/atom

=====

Q: What is the raw total energy in the third record?
A: -4.466 eV/atom

=====

Q: DFT formation energy of number 1 (Pr2NdScBi5)?
A: -0.009 eV/atom